(1)
Material: Pu3MnN
Method: DFT, PBE
State: optimized geometry

a = 4.7495 Å, b = 4.7495 Å, c = 4.7495 Å
α = 90.00°, β = 90.00°, γ = 90.00°
Closest atoms and distances in Å follow each position.
Positions (direct):
N 0.0000 0.0000 0.0000  6 Pu 2.37
Mn 0.5000 0.5000 0.5000  12 Pu 3.36
Pu 0.0000 0.5000 0.0000  2 N 2.37
Pu 0.0000 0.0000 0.5000  2 N 2.37
Pu 0.5000 0.0000 0.0000  2 N 2.37

Uncorrected formation energy: -0.0519 eV per atom
SG: Pm-3m, No. 221
Energy: -60.75 eV per cell



(2)
Material: Tb3Nd5Dy4
Method: DFT, PBE
State: optimized geometry

a = 7.2036 Å, b = 11.4002 Å, c = 13.0013 Å
α = 151.31°, β = 56.35°, γ = 129.24°
Closest atoms and distances in Å follow each position.
Positions (direct):
Tb 0.5867 0.1685 0.3335  6 Dy 3.57-3.63, 5 Nd 3.58-3.62, 1 Tb 3.62
Tb 0.0000 0.0000 0.5000  8 Nd 3.60-3.61, 2 Tb 3.62, 2 Dy 3.62
Tb 0.4133 0.8315 0.6665  6 Dy 3.57-3.63, 5 Nd 3.58-3.62, 1 Tb 3.62
Nd 0.3354 0.6663 0.8312  5 Dy 3.58-3.62, 4 Tb 3.58-3.62, 3 Nd 3.59-3.63
Nd 0.5000 0.0000 0.5000  4 Nd 3.60, 4 Tb 3.60-3.61, 4 Dy 3.61-3.62
Nd 0.7492 0.5002 0.0001  6 Nd 3.59-3.63, 3 Tb 3.60-3.61, 3 Dy 3.61-3.62
Nd 0.2508 0.4998 0.9999  6 Nd 3.59-3.63, 3 Tb 3.60-3.61, 3 Dy 3.61-3.62
Nd 0.6646 0.3337 0.1688  5 Dy 3.58-3.62, 4 Tb 3.58-3.62, 3 Nd 3.59-3.63
Dy 0.9165 0.8314 0.6664  3 Dy 3.57-3.60, 4 Tb 3.58-3.63, 5 Nd 3.58-3.62
Dy 0.8362 0.6701 0.8340  4 Dy 3.56-3.60, 3 Tb 3.57-3.60, 5 Nd 3.60-3.62
Dy 0.1638 0.3299 0.1660  4 Dy 3.56-3.60, 3 Tb 3.57-3.60, 5 Nd 3.60-3.62
Dy 0.0835 0.1686 0.3336  3 Dy 3.57-3.60, 4 Tb 3.58-3.63, 5 Nd 3.58-3.62

SG: P-1, No. 2
Formation energy from the elements: 0.015 eV/atom
Energy: -55.96 eV per cell



(3)
Material: AcDyCdCu
Method: DFT, PBE
State: optimized geometry

a = 5.3763 Å, b = 5.3763 Å, c = 5.3763 Å
α = 60.00°, β = 60.00°, γ = 60.00°
Closest atoms and distances in Å follow each position.
Positions (direct):
Ac 0.5000 0.5000 0.5000  4 Cd 3.29, 4 Cu 3.29
Cd 0.7500 0.7500 0.7500  4 Dy 3.29, 4 Ac 3.29
Cu 0.2500 0.2500 0.2500  4 Ac 3.29, 4 Dy 3.29
Dy 0.0000 0.0000 0.0000  4 Cu 3.29, 4 Cd 3.29

SG: F-43m, No. 216
Formation energy from the elements: -0.143 eV/atom
Energy: -14.29 eV per cell



(4)
Material: Ca3Ga2SnPd9
Method: DFT, PBE
State: optimized geometry

a = 6.5365 Å, b = 6.5365 Å, c = 9.1294 Å
α = 90.00°, β = 90.00°, γ = 120.00°
Closest atoms and distances in Å follow each position.
Positions (direct):
Ca 0.3333 0.6667 0.7240  9 Pd 3.15-3.28
Ca 0.0000 0.0000 0.0000  6 Pd 2.90
Ca 0.6667 0.3333 0.2760  9 Pd 3.15-3.28
Ga 0.3333 0.6667 0.1744  6 Pd 2.35-2.47
Ga 0.6667 0.3333 0.8256  6 Pd 2.35-2.47
Sn 0.0000 0.0000 0.5000  6 Pd 2.65
Pd 0.8607 0.1393 0.7330  1 Ga 2.35
Pd 0.8607 0.7214 0.7330  1 Ga 2.35
Pd 0.2786 0.1393 0.7330  1 Ga 2.35
Pd 0.7214 0.8607 0.2670  1 Ga 2.35
Pd 0.1393 0.2786 0.2670  1 Ga 2.35
Pd 0.1393 0.8607 0.2670  1 Ga 2.35
Pd 0.5000 0.0000 0.0000  2 Ga 2.47
Pd 0.0000 0.5000 0.0000  2 Ga 2.47
Pd 0.5000 0.5000 0.0000  2 Ga 2.47

SG: P-3m1, No. 164
Formation energy from the elements: -0.461 eV/atom
Energy: -69.72 eV per cell



(5)
Material: HfAlTe2I
Method: DFT, PBE
State: optimized geometry

a = 5.3253 Å, b = 5.3253 Å, c = 5.2160 Å
α = 90.00°, β = 90.00°, γ = 90.00°
Closest atoms and distances in Å follow each position.
Positions (direct):
I 0.0000 0.0000 0.5000  2 Al 2.61
Te 0.0000 0.5000 0.0000  2 Al 2.66
Te 0.5000 0.0000 0.0000  2 Al 2.66
Hf 0.5000 0.5000 0.5000  8 Te 3.73, 4 I 3.77
Al 0.0000 0.0000 0.0000  2 I 2.61, 4 Te 2.66

Uncorrected formation energy: 0.4303 eV per atom
SG: P4/mmm, No. 123
Energy: -19.38 eV per cell
Polymorph energy (0 for the lowest one): 0.546 eV/atom



(6)
Material: Sm5Ho2Er
Method: DFT, PBE
State: optimized geometry

a = 5.5622 Å, b = 6.5654 Å, c = 16.1632 Å
α = 90.00°, β = 90.00°, γ = 115.06°
Closest atoms and distances in Å follow each position.
Positions (direct):
Sm 0.9243 0.8486 0.9069  1 Er 3.37, 6 Sm 3.51-3.69, 3 Ho 3.62-3.72
Sm 0.9243 0.8486 0.5931  1 Er 3.37, 6 Sm 3.51-3.69, 3 Ho 3.62-3.72
Sm 0.3809 0.7618 0.4492  3 Sm 3.27-3.66, 3 Ho 3.32-3.50, 1 Er 3.51
Sm 0.3809 0.7618 0.0508  3 Sm 3.27-3.66, 3 Ho 3.32-3.50, 1 Er 3.51
Sm 0.5397 0.0794 0.2500  1 Er 3.30, 2 Ho 3.39
Sm 0.4603 0.9206 0.7500  1 Er 3.30, 2 Ho 3.39
Sm 0.6191 0.2382 0.5508  3 Sm 3.27-3.66, 3 Ho 3.32-3.50, 1 Er 3.51
Sm 0.6191 0.2382 0.9492  3 Sm 3.27-3.66, 3 Ho 3.32-3.50, 1 Er 3.51
Sm 0.0757 0.1514 0.0931  1 Er 3.37, 6 Sm 3.51-3.69, 3 Ho 3.62-3.72
Sm 0.0757 0.1514 0.4069  1 Er 3.37, 6 Sm 3.51-3.69, 3 Ho 3.62-3.72
Ho 0.7758 0.5515 0.3675  7 Sm 3.32-3.72, 2 Er 3.37
Ho 0.7758 0.5515 0.1325  7 Sm 3.32-3.72, 2 Er 3.37
Ho 0.2242 0.4485 0.6325  7 Sm 3.32-3.72, 2 Er 3.37
Ho 0.2242 0.4485 0.8675  7 Sm 3.32-3.72, 2 Er 3.37
Er 0.7373 0.4747 0.7500  5 Sm 3.30-3.51, 4 Ho 3.37
Er 0.2627 0.5253 0.2500  5 Sm 3.30-3.51, 4 Ho 3.37

SG: Cmcm, No. 63
Formation energy from the elements: 0.132 eV/atom
Energy: -72.52 eV per cell



(7)
Material: HgSeBr2F
Method: DFT, PBE
State: optimized geometry

a = 5.4097 Å, b = 5.4097 Å, c = 5.6040 Å
α = 90.00°, β = 90.00°, γ = 90.00°
Closest atoms and distances in Å follow each position.
Positions (direct):
Se 0.0000 0.0000 0.5000  2 Hg 2.80
Hg 0.0000 0.0000 0.0000  4 Br 2.70, 2 Se 2.80
Br 0.0000 0.5000 0.0000  2 Hg 2.70
Br 0.5000 0.0000 0.0000  2 Hg 2.70
F 0.5000 0.5000 0.5000  4 Se 3.83, 8 Br 3.89

Uncorrected formation energy: 0.3113 eV per atom
SG: P4/mmm, No. 123
Energy: -7.45 eV per cell
Polymorph energy (0 for the lowest one): 0.233 eV/atom



(8)
Material: Cu2PRu
Method: DFT, PBE
State: optimized geometry

a = 5.0569 Å, b = 5.0569 Å, c = 3.9351 Å
α = 67.12°, β = 67.12°, γ = 32.97°
Closest atoms and distances in Å follow each position.
Positions (direct):
Cu 0.0283 0.0283 0.9716  2 P 2.43, 4 Cu 2.49
Cu 0.4717 0.4717 0.5284  2 P 2.43, 4 Cu 2.49
P 0.7500 0.7500 0.7500  4 Cu 2.43, 4 Ru 2.44
Ru 0.2500 0.2500 0.2500  4 P 2.44

SG: Immm, No. 71
Formation energy from the elements: -0.006 eV/atom
Energy: -22.90 eV per cell



(9)
Material: GdHoCdPb
Method: DFT, PBE
State: optimized geometry

a = 5.3649 Å, b = 5.3649 Å, c = 5.3649 Å
α = 60.00°, β = 60.00°, γ = 60.00°
Closest atoms and distances in Å follow each position.
Positions (direct):
Pb 0.2500 0.2500 0.2500  4 Gd 3.29, 4 Ho 3.29
Gd 0.0000 0.0000 0.0000  4 Cd 3.29, 4 Pb 3.29
Ho 0.5000 0.5000 0.5000  4 Pb 3.29, 4 Cd 3.29
Cd 0.7500 0.7500 0.7500  4 Gd 3.29, 4 Ho 3.29

SG: F-43m, No. 216
Formation energy from the elements: -0.392 eV/atom
Energy: -24.85 eV per cell



(10)
Material: Li2PrAlHg4
Method: DFT, PBE
State: optimized geometry

a = 4.6630 Å, b = 4.6630 Å, c = 9.7306 Å
α = 76.14°, β = 76.14°, γ = 60.00°
Closest atoms and distances in Å follow each position.
Positions (direct):
Li 0.7678 0.7678 0.6967  7 Hg 2.77-3.04
Li 0.2322 0.2322 0.3033  7 Hg 2.77-3.04
Pr 0.0000 0.0000 0.0000  8 Hg 3.19-3.48
Al 0.5000 0.5000 0.5000  8 Hg 2.95-2.96, 6 Li 3.26
Hg 0.3944 0.3944 0.8167  3 Li 2.92, 1 Al 2.96, 3 Pr 3.19, 3 Hg 3.22
Hg 0.8761 0.8761 0.3717  4 Li 2.77-3.04, 3 Al 2.95
Hg 0.1239 0.1239 0.6283  4 Li 2.77-3.04, 3 Al 2.95
Hg 0.6056 0.6056 0.1833  3 Li 2.92, 1 Al 2.96, 3 Pr 3.19, 3 Hg 3.22

SG: R-3m, No. 166
Formation energy from the elements: -0.312 eV/atom
Energy: -16.05 eV per cell



(11)
Material: BaSmTlPb
Method: DFT, PBE
State: optimized geometry

a = 5.7886 Å, b = 5.7886 Å, c = 5.7886 Å
α = 60.00°, β = 60.00°, γ = 60.00°
Closest atoms and distances in Å follow each position.
Positions (direct):
Pb 0.0000 0.0000 0.0000  4 Sm 3.54, 4 Ba 3.54
Tl 0.5000 0.5000 0.5000  4 Ba 3.54, 4 Sm 3.54
Ba 0.7500 0.7500 0.7500  4 Tl 3.54, 4 Pb 3.54
Sm 0.2500 0.2500 0.2500  4 Pb 3.54, 4 Tl 3.54

SG: F-43m, No. 216
Formation energy from the elements: -0.347 eV/atom
Energy: -14.11 eV per cell